1.
The following is a PBE-GGA calculation of a geometry-optimized LiMgCo2 structure, from Alexandria.

extended XYZ file:
```
4
Lattice="2.489 -4.292 0.000 2.489 4.292 0.000 -0.813 0.000 2.442" Properties=species:S:1:pos:R:3 pbc="T T T"
Li 0.000 0.000 0.000
Mg 2.489 0.000 0.000
Co 0.838 2.146 1.221
Co 0.838 -2.146 1.221
```

## Properties
raw total energy	-16.834	eV/cell

2.
The following is a PBE-GGA calculation of a geometry-optimized Ac4Pr15Er structure, from Alexandria.

extended XYZ file:
```
20
Lattice="6.246 0.000 0.000 0.000 6.246 0.000 0.000 0.000 19.237" Properties=species:S:1:pos:R:3 pbc="T T T"
Ac 0.000 0.000 1.981
Ac 0.000 0.000 5.873
Ac 0.000 0.000 13.364
Ac 0.000 0.000 17.256
Pr 0.000 3.123 0.000
Pr 0.000 3.123 3.886
Pr 0.000 3.123 7.805
Pr 0.000 3.123 11.432
Pr 0.000 3.123 15.351
Pr 3.123 0.000 0.000
Pr 3.123 0.000 3.886
Pr 3.123 0.000 7.805
Pr 3.123 0.000 11.432
Pr 3.123 0.000 15.351
Pr 3.123 3.123 1.912
Pr 3.123 3.123 5.699
Pr 3.123 3.123 9.618
Pr 3.123 3.123 13.537
Pr 3.123 3.123 17.325
Er 0.000 0.000 9.618
```

## Properties
raw total energy	-90.532	eV/cell